The following is a DFT calculation (PBE) of a geometry-optimized AgIrSeN2 structure.

Summary:
Its space group is P4/mmm (123). The calculation puts the energy above the most stable polymorph in this dataset at 1530.4 meV per atom.

Structure (CIF):
```
data_AgIrSeN2
_symmetry_space_group_name_H-M 'P 1'
_symmetry_Int_Tables_number 1
_cell_length_a 3.847
_cell_length_b 3.847
_cell_length_c 6.583
_cell_angle_alpha 90.00
_cell_angle_beta 90.00
_cell_angle_gamma 90.00
loop_
_symmetry_equiv_pos_as_xyz
'x,y,z'
loop_
_atom_site_label
_atom_site_type_symbol
_atom_site_fract_x
_atom_site_fract_y
_atom_site_fract_z
_atom_site_occupancy
Ag1 Ag 0.000 0.000 0.000 1
Ir1 Ir 0.500 0.500 0.500 1
Se1 Se 0.000 0.000 0.500 1
N1 N 0.000 0.500 0.000 1
N2 N 0.500 0.000 0.000 1
```



The following is a DFT calculation (PBE) of a geometry-optimized AgIrSe2N structure.

Summary:
Its space group is P4/mmm (123). The calculation puts the energy above the most stable polymorph in this dataset at 1299.1 meV per atom.

Structure (CIF):
```
data_AgIrSe2N
_symmetry_space_group_name_H-M 'P 1'
_symmetry_Int_Tables_number 1
_cell_length_a 5.067
_cell_length_b 5.067
_cell_length_c 3.814
_cell_angle_alpha 90.00
_cell_angle_beta 90.00
_cell_angle_gamma 90.00
loop_
_symmetry_equiv_pos_as_xyz
'x,y,z'
loop_
_atom_site_label
_atom_site_type_symbol
_atom_site_fract_x
_atom_site_fract_y
_atom_site_fract_z
_atom_site_occupancy
Ag1 Ag 0.000 0.000 0.000 1
Ir1 Ir 0.500 0.500 0.500 1
Se1 Se 0.000 0.500 0.000 1
Se2 Se 0.500 0.000 0.000 1
N1 N 0.000 0.000 0.500 1
```



The following is a DFT calculation (PBE) of a geometry-optimized Sr2AgIrN structure.

Summary:
Its space group is P4/mmm (123).

Structure (CIF):
```
data_Sr2AgIrN
_symmetry_space_group_name_H-M 'P 1'
_symmetry_Int_Tables_number 1
_cell_length_a 5.481
_cell_length_b 5.481
_cell_length_c 3.809
_cell_angle_alpha 90.00
_cell_angle_beta 90.00
_cell_angle_gamma 90.00
loop_
_symmetry_equiv_pos_as_xyz
'x,y,z'
loop_
_atom_site_label
_atom_site_type_symbol
_atom_site_fract_x
_atom_site_fract_y
_atom_site_fract_z
_atom_site_occupancy
Sr1 Sr 0.000 0.500 0.000 1
Sr2 Sr 0.500 0.000 0.000 1
Ag1 Ag 0.000 0.000 0.500 1
Ir1 Ir 0.500 0.500 0.500 1
N1 N 0.500 0.500 0.000 1
```



Electronic total energy
In order: -4.0846, -3.6613, -5.1873
Unit: eV per atom
Total magnetic moment
In order: 3.978, 1.618, 0.000
Unit: μB/cell